Ga2SiTc2: relaxed, PBE-GGA. Values from VASP.

Computed properties:
The value obtained for the formation energy (no corrections) is -0.1858 eV/atom. The calculated density is 7894 kg/m³. The value obtained for the energy above the most stable polymorph in this dataset is 0.000 eV/atom. As for the total magnetization: 0.00 μB per formula unit.

```
&SYSTEM
  ibrav = 0, nat = 10, ntyp = 3
/
ATOMIC_SPECIES
Ga 69.72 Ga.upf
Si 28.09 Si.upf
Tc 98.00 Tc.upf
CELL_PARAMETERS angstrom
6.4101 0.0000 0.0000
0.0000 6.4101 0.0000
0.0000 0.0000 3.7223
ATOMIC_POSITIONS angstrom
Ga 0.9444 2.2607 0.0000
Ga 2.2607 5.4657 0.0000
Ga 4.1494 0.9444 0.0000
Ga 5.4657 4.1494 0.0000
Si 0.0000 0.0000 1.8611
Si 3.2050 3.2050 1.8611
Tc 1.0125 4.2175 1.8611
Tc 2.1926 1.0125 1.8611
Tc 4.2175 5.3976 1.8611
Tc 5.3976 2.1926 1.8611
```